{
  "formula": "PmYIrRu",
  "functional": "PBE",
  "state": "relaxed",
  "lattice": [[6.9282, 0.0000, 0.0000], [0.0000, 6.9282, 0.0000], [0.0000, 0.0000, 6.9282]],
  "species": ["Pm", "Pm", "Pm", "Pm", "Y", "Y", "Y", "Y", "Ir", "Ir", "Ir", "Ir", "Ru", "Ru", "Ru", "Ru"],
  "fractional_positions": [[0.0000, 0.0000, 0.0000], [0.0000, 0.5000, 0.5000], [0.5000, 0.0000, 0.5000], [0.5000, 0.5000, 0.0000], [0.0000, 0.0000, 0.5000], [0.0000, 0.5000, 0.0000], [0.5000, 0.0000, 0.0000], [0.5000, 0.5000, 0.5000], [0.2500, 0.2500, 0.2500], [0.2500, 0.7500, 0.7500], [0.7500, 0.2500, 0.7500], [0.7500, 0.7500, 0.2500], [0.2500, 0.2500, 0.7500], [0.2500, 0.7500, 0.2500], [0.7500, 0.2500, 0.2500], [0.7500, 0.7500, 0.7500]],
  "delta_e_f_ev_per_atom": -0.463,
  "total_energy_ev_per_cell": -124.814,
  "space_group": "F-43m, No. 216"
}

{
  "formula": "LiCrC2",
  "functional": "PBE",
  "state": "relaxed",
  "lattice": [[5.0239, 0.0000, 0.0000], [0.0000, 5.0239, 0.0000], [0.0000, 0.0000, 5.0239]],
  "species": ["Li", "Li", "Li", "Li", "Cr", "Cr", "Cr", "Cr", "C", "C", "C", "C", "C", "C", "C", "C"],
  "fractional_positions": [[0.0000, 0.0000, 0.0000], [0.0000, 0.5000, 0.5000], [0.5000, 0.0000, 0.5000], [0.5000, 0.5000, 0.0000], [0.0000, 0.0000, 0.5000], [0.0000, 0.5000, 0.0000], [0.5000, 0.0000, 0.0000], [0.5000, 0.5000, 0.5000], [0.2500, 0.2500, 0.2500], [0.2500, 0.2500, 0.7500], [0.2500, 0.7500, 0.2500], [0.2500, 0.7500, 0.7500], [0.7500, 0.2500, 0.2500], [0.7500, 0.2500, 0.7500], [0.7500, 0.7500, 0.2500], [0.7500, 0.7500, 0.7500]],
  "polymorph_energy_mev_per_atom": 287,
  "delta_e_f_ev_per_atom": 1.099,
  "total_energy_ev_per_cell": -102.361,
  "space_group": "Fm-3m, No. 225"
}

{
  "formula": "Na2Li3HgSb4",
  "functional": "PBE",
  "state": "relaxed",
  "lattice": [[4.4570, 0.0000, 0.0000], [0.0000, 4.4570, 0.0000], [0.0000, 0.0000, 12.7893]],
  "species": ["Na", "Na", "Li", "Li", "Li", "Hg", "Sb", "Sb", "Sb", "Sb"],
  "fractional_positions": [[0.0000, 0.5000, 0.2323], [0.5000, 0.0000, 0.7677], [0.0000, 0.0000, 0.0000], [0.0000, 0.5000, 0.6433], [0.5000, 0.0000, 0.3567], [0.5000, 0.5000, 0.0000], [0.0000, 0.0000, 0.5000], [0.0000, 0.5000, 0.8552], [0.5000, 0.0000, 0.1448], [0.5000, 0.5000, 0.5000]],
  "formation_energy_uncorrected_ev_per_atom": -0.356,
  "total_energy_ev_per_cell": -28.734,
  "space_group": "P-4m2, No. 115"
}